Density functional theory data (GGA-PBE) for a relaxed MgZn2Se crystal.

Cell and atoms, written as CIF:
```
data_MgZn2Se
_cell_length_a 7.967
_cell_length_b 7.967
_cell_length_c 5.141
_cell_angle_alpha 90.00
_cell_angle_beta 90.00
_cell_angle_gamma 90.00
_symmetry_space_group_name_H-M 'I -4 2 d'
_symmetry_Int_Tables_number 122
_symmetry_space_group_name_Hall 'I -4 2bw'
loop_
_atom_site_label
_atom_site_fract_x
_atom_site_fract_y
_atom_site_fract_z
Mg1 0.000 0.000 0.000
Zn1 0.214 0.250 0.625
Se1 0.000 0.000 0.500
```

Values from the calculation:
Total magnetization: 0.00 μB per formula unit
Raw formation energy: -0.218 eV/atom


Density functional theory data (GGA-PBE) for a relaxed Mg2ZnSe crystal.

Cell and atoms, written as CIF:
```
data_Mg2ZnSe
_cell_length_a 4.993
_cell_length_b 5.001
_cell_length_c 6.204
_cell_angle_alpha 90.00
_cell_angle_beta 90.00
_cell_angle_gamma 90.00
_symmetry_space_group_name_H-M 'C m m m'
_symmetry_Int_Tables_number 65
_symmetry_space_group_name_Hall '-C 2 2'
loop_
_atom_site_label
_atom_site_fract_x
_atom_site_fract_y
_atom_site_fract_z
Mg1 0.000 0.000 0.248
Zn1 0.000 0.500 0.000
Se1 0.000 0.500 0.500
```

Values from the calculation:
Total magnetization: 0.00 μB per formula unit
Raw formation energy: -0.369 eV/atom
Excess energy over the best structure of this formula in the dataset: 117 meV per atom


Density functional theory data (GGA-PBE) for a relaxed MgZn2Se4 crystal.

Cell and atoms, written as CIF:
```
data_MgZn2Se4
_cell_length_a 4.980
_cell_length_b 4.980
_cell_length_c 14.078
_cell_angle_alpha 90.00
_cell_angle_beta 90.00
_cell_angle_gamma 90.00
_symmetry_space_group_name_H-M 'I 4/m m m'
_symmetry_Int_Tables_number 139
_symmetry_space_group_name_Hall '-I 4 2'
loop_
_atom_site_label
_atom_site_fract_x
_atom_site_fract_y
_atom_site_fract_z
Mg1 0.000 0.000 0.000
Zn1 0.000 0.000 0.408
Se1 0.000 0.000 0.242
Se2 0.000 0.500 0.000
```

Values from the calculation:
Total magnetization: 0.00 μB per formula unit
Raw formation energy: -0.244 eV/atom
Excess energy over the best structure of this formula in the dataset: 137 meV per atom


Density functional theory data (GGA-PBE) for a relaxed MgZnSe crystal.

Cell and atoms, written as CIF:
```
data_MgZnSe
_cell_length_a 6.894
_cell_length_b 5.276
_cell_length_c 8.487
_cell_angle_alpha 90.00
_cell_angle_beta 118.75
_cell_angle_gamma 90.00
_symmetry_space_group_name_H-M 'P 1 21/c 1'
_symmetry_Int_Tables_number 14
_symmetry_space_group_name_Hall '-P 2ybc'
loop_
_atom_site_label
_atom_site_fract_x
_atom_site_fract_y
_atom_site_fract_z
Mg1 0.244 0.003 0.370
Zn1 0.471 0.502 0.276
Se1 0.186 0.502 0.386
```

Values from the calculation:
Total magnetization: 0.00 μB per formula unit
Raw formation energy: -0.501 eV/atom
Excess energy over the best structure of this formula in the dataset: 108 meV per atom


Density functional theory data (GGA-PBE) for a relaxed MgZn8Se4 crystal.

Cell and atoms, written as CIF:
```
data_MgZn8Se4
_cell_length_a 8.177
_cell_length_b 8.177
_cell_length_c 7.713
_cell_angle_alpha 90.00
_cell_angle_beta 90.00
_cell_angle_gamma 90.00
_symmetry_space_group_name_H-M 'I 4/m m m'
_symmetry_Int_Tables_number 139
_symmetry_space_group_name_Hall '-I 4 2'
loop_
_atom_site_label
_atom_site_fract_x
_atom_site_fract_y
_atom_site_fract_z
Mg1 0.000 0.000 0.000
Zn1 0.000 0.220 0.500
Zn2 0.000 0.343 0.000
Se1 0.250 0.250 0.250
```

Values from the calculation:
Total magnetization: 0.00 μB per formula unit
Raw formation energy: -0.043 eV/atom
Excess energy over the best structure of this formula in the dataset: 251 meV per atom


Density functional theory data (GGA-PBE) for a relaxed MgZn2Se3 crystal.

Cell and atoms, written as CIF:
```
data_MgZn2Se3
_cell_length_a 7.4631
_cell_length_b 7.4631
_cell_length_c 5.7713
_cell_angle_alpha 90.00
_cell_angle_beta 90.00
_cell_angle_gamma 120.00
_symmetry_space_group_name_H-M 'P 63/m m c'
_symmetry_Int_Tables_number 194
_symmetry_space_group_name_Hall '-P 6c 2c'
loop_
_atom_site_label
_atom_site_fract_x
_atom_site_fract_y
_atom_site_fract_z
Mg1 0.0000 0.0000 0.0000
Zn1 0.3333 0.6667 0.0312
Se1 0.1764 0.3528 0.7500
```

Values from the calculation:
Total magnetization: 0.00 μB per formula unit
Raw formation energy: -0.221 eV/atom
Excess energy over the best structure of this formula in the dataset: 664 meV per atom